Record 1
This record from OQMD via LeMat-Bulk describes Nb4Co2IrSe12 after structural relaxation. The functional is PBE-GGA.

a = 7.0498 Å, b = 7.0498 Å, c = 19.2858 Å
α = 109.31°, β = 109.31°, γ = 27.78°
Closest atoms and distances in Å follow each position.
Atoms (fractional coordinates):
Nb: 0.1168 0.1168 0.1448  6 Se 2.55-2.65
Nb: 0.2421 0.2421 0.4056  6 Se 2.56-2.72, 2 Co 2.87
Nb: 0.7579 0.7579 0.5944  6 Se 2.56-2.72, 2 Co 2.87
Nb: 0.8832 0.8832 0.8552  6 Se 2.55-2.65
Co: 0.2734 0.2734 0.7179  5 Se 2.36-2.40
Co: 0.7266 0.7266 0.2821  5 Se 2.36-2.40
Ir: 0.5000 0.5000 0.0000  4 Se 2.45-2.46
Se: 0.1001 0.1001 0.2780  2 Co 2.40, 2 Nb 2.56-2.65
Se: 0.1256 0.1256 0.6098  1 Co 2.36, 2 Nb 2.57
Se: 0.3044 0.3044 0.2328  2 Co 2.36, 1 Nb 2.55
Se: 0.3121 0.3121 0.9302  1 Ir 2.46, 2 Nb 2.62
Se: 0.3699 0.3699 0.5491  3 Nb 2.63-2.72
Se: 0.4617 0.4617 0.1152  1 Ir 2.45, 2 Nb 2.62
Se: 0.5383 0.5383 0.8848  1 Ir 2.45, 2 Nb 2.62
Se: 0.6301 0.6301 0.4509  3 Nb 2.63-2.72
Se: 0.6879 0.6879 0.0698  1 Ir 2.46, 2 Nb 2.62
Se: 0.6956 0.6956 0.7672  2 Co 2.36, 1 Nb 2.55
Se: 0.8744 0.8744 0.3902  1 Co 2.36, 2 Nb 2.57
Se: 0.8999 0.8999 0.7220  2 Co 2.40, 2 Nb 2.56-2.65

Values from the calculation:
symmetry	No. 12
raw total energy	-118.1	eV/cell

=====

Record 2
This record from OQMD via LeMat-Bulk describes Lu2S after structural relaxation. The functional is PBE-GGA.

a = 6.0897 Å, b = 6.0897 Å, c = 6.0897 Å
α = 60.00°, β = 60.00°, γ = 60.00°
Closest atoms and distances in Å follow each position.
Atoms (fractional coordinates):
Lu: 0.0000 0.0000 0.0000  6 Lu 3.04
Lu: 0.0000 0.0000 0.5000  6 Lu 3.04
Lu: 0.0000 0.5000 0.0000  6 Lu 3.04
Lu: 0.5000 0.0000 0.0000  6 Lu 3.04
S: 0.3750 0.3750 0.3750  12 Lu 3.57, 4 S 3.73
S: 0.6250 0.6250 0.6250  12 Lu 3.57, 4 S 3.73

Values from the calculation:
symmetry	No. 227
raw total energy	-25.0	eV/cell

=====

Record 3
This record from OQMD via LeMat-Bulk describes Pr4IBr2NCl2 after structural relaxation. The functional is PBE-GGA.

a = 9.2944 Å, b = 9.2944 Å, c = 8.7883 Å
α = 103.86°, β = 103.86°, γ = 24.43°
Closest atoms and distances in Å follow each position.
Atoms (fractional coordinates):
Pr: 0.0000 0.0000 0.1943  2 N 2.60, 1 Cl 2.86
Pr: 0.0000 0.0000 0.8057  2 N 2.60, 1 Cl 2.86
Pr: 0.3599 0.3599 0.9251  1 N 2.47
Pr: 0.6401 0.6401 0.0749  1 N 2.47
I: 0.5000 0.5000 0.5000  4 Pr 3.33
Br: 0.1715 0.1715 0.8360  4 Pr 3.03-3.32
Br: 0.8285 0.8285 0.1640  4 Pr 3.03-3.32
N: 0.5000 0.5000 0.0000  6 Pr 2.47-2.60
Cl: 0.1609 0.1609 0.3167  3 Pr 2.85-2.86
Cl: 0.8391 0.8391 0.6833  3 Pr 2.85-2.86

Values from the calculation:
symmetry	No. 12
raw total energy	-52.6	eV/cell

=====

Record 4
This record from OQMD via LeMat-Bulk describes LiErMgSe3 after structural relaxation. The functional is PBE-GGA.

a = 6.8660 Å, b = 6.8660 Å, c = 11.1863 Å
α = 90.00°, β = 90.00°, γ = 145.75°
Closest atoms and distances in Å follow each position.
Atoms (fractional coordinates):
Li: 0.2479 0.7521 0.7500  2 Se 2.86
Li: 0.7521 0.2479 0.2500  2 Se 2.86
Er: 0.5000 0.5000 0.0000  6 Se 2.83-3.06
Er: 0.5000 0.5000 0.5000  6 Se 2.83-3.06
Mg: 0.0263 0.9737 0.2500  4 Se 2.50-2.57
Mg: 0.9737 0.0263 0.7500  4 Se 2.50-2.57
Se: 0.1390 0.8610 0.0694  1 Mg 2.50
Se: 0.1390 0.8610 0.4306  1 Mg 2.50
Se: 0.4060 0.5940 0.2500  2 Mg 2.57, 2 Li 2.86
Se: 0.5940 0.4060 0.7500  2 Mg 2.57, 2 Li 2.86
Se: 0.8610 0.1390 0.5694  1 Mg 2.50
Se: 0.8610 0.1390 0.9306  1 Mg 2.50

Values from the calculation:
symmetry	No. 63
raw total energy	-53.7	eV/cell

=====

Record 5
This record from OQMD via LeMat-Bulk describes YMgAg after structural relaxation. The functional is PBE-GGA.

a = 5.1095 Å, b = 5.1095 Å, c = 6.1586 Å
α = 90.00°, β = 90.00°, γ = 120.00°
Closest atoms and distances in Å follow each position.
Atoms (fractional coordinates):
Y: 0.3333 0.6667 0.0000  5 Ag 2.95-3.09
Y: 0.6667 0.3333 0.5000  5 Ag 2.95-3.09
Mg: 0.0000 0.0000 0.2488  2 Mg 3.08, 6 Ag 3.32-3.34, 6 Y 3.32-3.33
Mg: 0.0000 0.0000 0.7488  2 Mg 3.08, 6 Ag 3.32-3.34, 6 Y 3.32-3.33
Ag: 0.3333 0.6667 0.5019  5 Y 2.95-3.09
Ag: 0.6667 0.3333 0.0019  5 Y 2.95-3.09

Values from the calculation:
symmetry	No. 186
raw total energy	-23.2	eV/cell

=====

Record 6
This record from OQMD via LeMat-Bulk describes YBiIrAu after structural relaxation. The functional is PBE-GGA.

a = 4.9134 Å, b = 4.9134 Å, c = 4.9134 Å
α = 60.00°, β = 60.00°, γ = 60.00°
Closest atoms and distances in Å follow each position.
Atoms (fractional coordinates):
Y: 0.0000 0.0000 0.0000  4 Bi 3.01, 4 Au 3.01
Bi: 0.2500 0.2500 0.2500  4 Ir 3.01, 4 Y 3.01
Ir: 0.5000 0.5000 0.5000  4 Au 3.01, 4 Bi 3.01
Au: 0.7500 0.7500 0.7500  4 Ir 3.01, 4 Y 3.01

Values from the calculation:
symmetry	No. 216
polymorph energy (0 for the lowest one)	0.108	eV/atom

=====

Record 7
This record from OQMD via LeMat-Bulk describes CsSmRe2O8 after structural relaxation. The functional is PBE-GGA.

a = 6.0270 Å, b = 6.0270 Å, c = 7.9458 Å
α = 90.00°, β = 90.00°, γ = 120.00°
Closest atoms and distances in Å follow each position.
Atoms (fractional coordinates):
Cs: 0.0000 0.0000 0.0000  12 O 3.12-3.48
Sm: 0.0000 0.0000 0.5000  6 O 2.29
Re: 0.3333 0.6667 0.2400  4 O 1.77-1.80
Re: 0.6667 0.3333 0.7600  4 O 1.77-1.80
O: 0.1719 0.3438 0.3209  1 Re 1.80
O: 0.1719 0.8281 0.3209  1 Re 1.80
O: 0.3333 0.6667 0.0175  1 Re 1.77
O: 0.3438 0.1719 0.6791  1 Re 1.80
O: 0.6562 0.8281 0.3209  1 Re 1.80
O: 0.6667 0.3333 0.9825  1 Re 1.77
O: 0.8281 0.1719 0.6791  1 Re 1.80
O: 0.8281 0.6562 0.6791  1 Re 1.80

Values from the calculation:
symmetry	No. 164
raw total energy	-93.7	eV/cell

=====

Record 8
This record from OQMD via LeMat-Bulk describes GdBiN2O after structural relaxation. The functional is PBE-GGA.

a = 5.7614 Å, b = 5.8529 Å, c = 6.0908 Å
α = 61.71°, β = 62.99°, γ = 60.53°
Closest atoms and distances in Å follow each position.
Atoms (fractional coordinates):
Gd: 0.0000 0.0000 0.0000  2 O 2.25-2.47, 4 N 2.32-2.48
Gd: 0.2753 0.2724 0.1872  2 O 2.25-2.38, 4 N 2.33-2.49
Bi: 0.5034 0.4660 0.5338  4 N 2.17-2.25, 1 O 2.30
Bi: 0.7814 0.7863 0.6545  4 N 2.19-2.28, 2 O 2.22-2.34
N: 0.1780 0.6067 0.3636  2 Bi 2.17-2.28, 1 Gd 2.38
N: 0.4098 0.0847 0.8392  2 Bi 2.21-2.25, 1 Gd 2.32
N: 0.6629 0.4211 0.8302  2 Bi 2.19-2.23, 1 Gd 2.37
N: 0.8695 0.1779 0.3484  2 Bi 2.17-2.28, 1 Gd 2.33
O: 0.0748 0.6666 0.8638  1 Bi 2.22, 2 Gd 2.25-2.38
O: 0.5987 0.8688 0.3403  2 Gd 2.25-2.47, 2 Bi 2.30-2.34

Values from the calculation:
symmetry	No. 1
raw total energy	-66.9	eV/cell